# 1
MgCdFe3 | GGA-PBE | relaxed

It has space group Pm-3m (No. 221), with a = 4.4894 Å, b = 4.4894 Å, c = 4.4894 Å, α = 90.00°, β = 90.00° and γ = 90.00°. The inequivalent atoms are Mg at (0.0000, 0.0000, 0.0000), Cd at (0.5000, 0.5000, 0.5000) and Fe at (0.0000, 0.0000, 0.5000).

---

# 2
TaBeCr | GGA-PBE | relaxed

It has space group Fmm2 (No. 42), with a = 3.3769 Å, b = 4.1056 Å, c = 11.2494 Å, α = 90.00°, β = 90.00° and γ = 90.00°. The inequivalent atoms are Ta at (0.0000, 0.0000, 0.0000), Be at (0.0000, 0.0000, 0.6671) and Cr at (0.0000, 0.0000, 0.3048).

---

# 3
VOs2Rh | GGA-PBE | relaxed

It has space group Fm-3m (No. 225), with a = 6.1081 Å, b = 6.1081 Å, c = 6.1081 Å, α = 90.00°, β = 90.00° and γ = 90.00°. The inequivalent atoms are V at (0.0000, 0.0000, 0.0000), Os at (0.2500, 0.2500, 0.2500) and Rh at (0.0000, 0.0000, 0.5000).

---

For the records above, the corresponding uncorrected energy values read -4.22 -8.19 -9.49 eV per atom.
For the records above, the corresponding ΔE to the lowest computed polymorph values read 0.000 0.320 0.404 eV per atom.